A relaxed CaAc2SeO6 crystal, computed with PBE.

The formation energy without anion corrections comes out at -2.451 eV/atom. The density of states at the Fermi level is 0.0000 states/eV/atom. Its total magnetization is 0.00 μB per formula unit.

The space group is P-1 (No. 2) and the conventional cell measures 5.9067, 5.9190 and 5.9964 Å, with angles of 119.07, 90.09 and 119.78 degrees. Symmetry generates all atoms from Ca at (0.0000, 0.0000, 0.0000), Ac at (0.2487, 0.4949, 0.7291), Se at (0.5000, 0.0000, 0.5000), O at (0.1939, 0.8728, 0.6698), O at (0.2692, 0.5338, 0.1609) and O at (0.3224, 0.1266, 0.3279).